# 1
## CaCoOs (PBE)

Data for a relaxed structure of CaCoOs.

a = 5.031 Å, b = 4.213 Å, c = 5.510 Å
α = 90.00°, β = 104.64°, γ = 90.00°
Element x y z (fractional)
Co 0.422 0.000 0.271
Co 0.679 0.500 0.365
Ca 0.055 0.500 0.898
Ca 0.538 0.000 0.777
Os 0.215 0.500 0.417
Os 0.924 0.000 0.329

- crystal system = monoclinic



# 2
## CaCoOs (PBE)

Data for a relaxed structure of CaCoOs.

a = 6.408 Å, b = 6.408 Å, c = 2.876 Å
α = 77.03°, β = 77.04°, γ = 25.93°
Element x y z (fractional)
Co 0.693 0.693 0.307
Ca 0.002 0.002 0.998
Os 0.305 0.305 0.695

- crystal system = tetragonal



# 3
## CaCoOs (PBE)

Data for a relaxed structure of CaCoOs.

a = 4.361 Å, b = 7.016 Å, c = 7.093 Å
α = 90.00°, β = 90.00°, γ = 90.00°
Element x y z (fractional)
Co 0.250 0.098 0.390
Co 0.750 0.902 0.390
Co 0.750 0.598 0.890
Co 0.250 0.402 0.890
Ca 0.250 0.676 0.557
Ca 0.750 0.324 0.557
Ca 0.750 0.176 0.057
Ca 0.250 0.824 0.057
Os 0.250 0.085 0.720
Os 0.750 0.915 0.720
Os 0.750 0.585 0.220
Os 0.250 0.415 0.220

- crystal system = orthorhombic



# 4
## Ca2CoOs2 (PBE)

Data for a relaxed structure of Ca2CoOs2.

a = 5.751 Å, b = 5.751 Å, c = 5.365 Å
α = 57.59°, β = 57.59°, γ = 90.00°
Element x y z (fractional)
Co 0.000 0.000 0.000
Ca 0.750 0.250 0.500
Ca 0.250 0.750 0.500
Os 0.332 0.332 0.336
Os 0.668 0.668 0.664

- crystal system = tetragonal



# 5
## CaCoOs (PBE)

Data for a relaxed structure of CaCoOs.

a = 5.030 Å, b = 4.262 Å, c = 5.312 Å
α = 90.00°, β = 104.53°, γ = 90.00°
Element x y z (fractional)
Co 0.575 0.250 0.432
Co 0.425 0.750 0.568
Ca 0.747 0.250 0.954
Ca 0.253 0.750 0.046
Os 0.132 0.250 0.531
Os 0.868 0.750 0.469

- crystal system = monoclinic



# 6
## CaCoOs (PBE)

Data for a relaxed structure of CaCoOs.

a = 5.255 Å, b = 5.255 Å, c = 5.255 Å
α = 90.65°, β = 61.61°, γ = 122.40°
Element x y z (fractional)
Ca 0.750 0.876 0.374
Ca 0.250 0.124 0.626
Os 0.500 0.000 0.000
Os 0.000 0.500 0.000
Co 0.000 0.500 0.500
Co 0.500 0.500 0.000

- crystal system = orthorhombic



Number 1: ΔH_f (0 K) 0.160 eV/atom, calculated volume 18.83 Å³/atom, offset from the most stable computed form 63 meV per atom. Number 2: ΔH_f (0 K) 0.377 eV/atom, calculated volume 16.75 Å³/atom, offset from the most stable computed form 280 meV per atom. Number 3: ΔH_f (0 K) 0.220 eV/atom, calculated volume 18.09 Å³/atom, offset from the most stable computed form 123 meV per atom. Number 4: ΔH_f (0 K) 0.996 eV/atom, calculated volume 23.15 Å³/atom, offset from the most stable computed form 643 meV per atom. Number 5: ΔH_f (0 K) 0.097 eV/atom, calculated volume 18.37 Å³/atom, offset from the most stable computed form 0 meV per atom. Number 6: ΔH_f (0 K) 0.102 eV/atom, calculated volume 16.97 Å³/atom, offset from the most stable computed form 5 meV per atom.